# 1
The following is a DFT calculation (GGA-PBE) of an optimized crystal structure of TaAg2As.

Lattice parameters (Å, degrees): 4.780 2.906 5.327 74.69 90.00 90.00
Positions (direct):
1 Ag 0.000 0.126 0.007
2 As 0.500 0.250 0.250
3 Ta 0.500 0.750 0.750
4 Ag 0.000 0.374 0.493

For the total DFT energy (no corrections), the calculation gives -5.30 eV/atom. The value obtained for the formation energy is 0.25 eV per atom.



# 2
The following is a DFT calculation (GGA-PBE) of an optimized crystal structure of NaCaAu2.

Lattice parameters (Å, degrees): 3.670 3.670 6.784 90.00 90.00 90.00
Positions (direct):
1 Na 0.500 0.500 0.000
2 Ca 0.500 0.500 0.500
3 Au 0.000 0.000 0.754
4 Au 0.000 0.000 0.246

For the total DFT energy (no corrections), the calculation gives -3.04 eV/atom. The relative energy among the computed polymorphs comes out at 12 meV per atom. The value obtained for the formation energy is -0.57 eV per atom.



# 3
The following is a DFT calculation (GGA-PBE) of an optimized crystal structure of YTcRu2.

Lattice parameters (Å, degrees): 4.571 4.571 4.571 60.00 60.00 60.00
Last column: magnetic moment on the atom in μB.
Positions (direct):
1 Tc 0.500 0.500 0.500  1.12
2 Ru 0.750 0.750 0.750  0.36
3 Ru 0.250 0.250 0.250  0.36
4 Y 0.000 0.000 0.000  -0.03

For the total DFT energy (no corrections), the calculation gives -8.65 eV/atom. The relative energy among the computed polymorphs comes out at 114 meV per atom. The value obtained for the formation energy is 0.20 eV per atom.



# 4
The following is a DFT calculation (GGA-PBE) of an optimized crystal structure of CaHo4Er.

Lattice parameters (Å, degrees): 6.598 6.598 6.598 60.00 60.00 60.00
Positions (direct):
1 Ho 0.627 0.627 0.120
2 Ho 0.627 0.120 0.627
3 Ho 0.120 0.627 0.627
4 Ca 0.250 0.250 0.250
5 Er 0.000 0.000 0.000
6 Ho 0.627 0.627 0.627

For the total DFT energy (no corrections), the calculation gives -3.92 eV/atom. The value obtained for the formation energy is 0.22 eV per atom.



The lowest total DFT energy (no corrections) belongs to which entry?
YTcRu2



Among the records above, which one has the highest total DFT energy (no corrections)?
NaCaAu2



Which of these has the lowest total DFT energy (no corrections)?
YTcRu2